! PBE with a Hubbard U LiVSi2O6, relaxed; values from VASP
! crystal system	monoclinic
! polymorph energy (0 for the lowest one)	0	meV per atom
! Fermi-level density of states	0.000	states/eV/atom
&SYSTEM
  ibrav = 0, nat = 20, ntyp = 4
/
ATOMIC_SPECIES
Li 6.94 Li.upf
V 50.94 V.upf
Si 28.09 Si.upf
O 16.00 O.upf
CELL_PARAMETERS angstrom
4.8968 -4.3783 0.0000
4.8968 4.3783 0.0000
-1.8574 0.0000 5.0668
ATOMIC_POSITIONS angstrom
Li 3.5038 2.2737 3.8001
Li 4.4325 -2.2737 1.2667
V 4.4325 0.8416 1.2667
V 3.5038 -0.8416 3.8001
Si 0.6390 0.7821 3.6807
Si 1.5677 -0.7821 1.1473
Si 6.3685 0.7821 3.9195
Si 7.2972 -0.7821 1.3861
O 3.0206 2.1356 1.6866
O 0.6129 0.0302 2.2138
O -0.3158 -0.0302 4.7473
O 2.1851 0.7450 4.2646
O 5.8444 2.1356 0.8468
O 3.1138 -0.7450 1.7312
O 4.8225 0.7450 3.3357
O 2.0919 -2.1356 4.2200
O 5.7511 -0.7450 0.8022
O 8.2520 0.0302 0.3196
O 7.3233 -0.0302 2.8530
O 4.9157 -2.1356 3.3802